Record 1
DFT (PBE) results for a geometry-optimized LaSmZrSc structure.

Cell: 5.4406 5.4406 5.4406 Å, 60.00 60.00 60.00°
With the nearest neighbours (Å) after each atom.
Sites, in units of the cell vectors:
Sc 0.0000 0.0000 0.0000  4 La 3.33, 4 Sm 3.33
Zr 0.5000 0.5000 0.5000  4 La 3.33, 4 Sm 3.33
Sm 0.2500 0.2500 0.2500  4 Zr 3.33, 4 Sc 3.33
La 0.7500 0.7500 0.7500  4 Sc 3.33, 4 Zr 3.33

Computed properties:
The calculated formation energy comes out at 0.177 eV/atom.

=====

Record 2
DFT (PBE) results for a geometry-optimized LaScSn structure.

Cell: 4.2337 4.9412 4.9412 Å, 120.00 90.00 90.00°
With the nearest neighbours (Å) after each atom.
Sites, in units of the cell vectors:
Sc 0.8334 0.0000 0.0000  3 Sn 2.85
Sn 0.8332 0.6667 0.3333  3 Sc 2.85
La 0.3333 0.3333 0.6667  6 Sn 3.55, 6 Sc 3.55

Computed properties:
The calculated formation energy comes out at -0.486 eV/atom. Its energy relative to the lowest polymorph listed for this composition is 0.158 eV per atom.

=====

Record 3
DFT (PBE) results for a geometry-optimized La2ScSn structure.

Cell: 4.9655 4.8310 4.8310 Å, 90.00 90.00 90.00°
With the nearest neighbours (Å) after each atom.
Sites, in units of the cell vectors:
Sc 0.5000 0.5000 0.5000  4 Sn 3.42, 8 La 3.46
Sn 0.5000 0.0000 0.0000  4 Sc 3.42, 8 La 3.46
La 0.0000 0.0000 0.5000  4 La 3.42, 4 Sc 3.46, 4 Sn 3.46
La 0.0000 0.5000 0.0000  4 La 3.42, 4 Sn 3.46, 4 Sc 3.46

Computed properties:
The calculated formation energy comes out at -0.424 eV/atom.

=====

Record 4
DFT (PBE) results for a geometry-optimized LaSc4Sn4 structure.

Cell: 5.4276 9.3943 9.3943 Å, 90.00 90.00 90.00°
With the nearest neighbours (Å) after each atom.
Sites, in units of the cell vectors:
La 0.0000 0.0000 0.0000  4 Sn 3.39, 4 Sc 3.58
La 0.5000 0.5000 0.5000  4 Sn 3.39, 4 Sc 3.58
Sc 0.3989 0.4110 0.8655  4 Sn 2.91-3.04, 1 Sc 3.03
Sc 0.8989 0.6345 0.9110  4 Sn 2.91-3.04, 1 Sc 3.03
Sc 0.3989 0.5890 0.1345  4 Sn 2.91-3.04, 1 Sc 3.03
Sc 0.1011 0.0890 0.6345  4 Sn 2.91-3.04, 1 Sc 3.03
Sc 0.6011 0.8655 0.5890  4 Sn 2.91-3.04, 1 Sc 3.03
Sc 0.1011 0.9110 0.3655  4 Sn 2.91-3.04, 1 Sc 3.03
Sc 0.8989 0.3655 0.0890  4 Sn 2.91-3.04, 1 Sc 3.03
Sc 0.6011 0.1345 0.4110  4 Sn 2.91-3.04, 1 Sc 3.03
Sn 0.5876 0.8754 0.2401  4 Sc 2.91-3.04, 1 Sn 2.95
Sn 0.5876 0.1246 0.7599  4 Sc 2.91-3.04, 1 Sn 2.95
Sn 0.0876 0.7401 0.6246  4 Sc 2.91-3.04, 1 Sn 2.95
Sn 0.9124 0.3754 0.7401  4 Sc 2.91-3.04, 1 Sn 2.95
Sn 0.9124 0.6246 0.2599  4 Sc 2.91-3.04, 1 Sn 2.95
Sn 0.4124 0.2401 0.1246  4 Sc 2.91-3.04, 1 Sn 2.95
Sn 0.4124 0.7599 0.8754  4 Sc 2.91-3.04, 1 Sn 2.95
Sn 0.0876 0.2599 0.3754  4 Sc 2.91-3.04, 1 Sn 2.95

Computed properties:
The calculated formation energy comes out at -0.447 eV/atom.

=====

Record 5
DFT (PBE) results for a geometry-optimized La3ScSn2 structure.

Cell: 6.6474 6.5668 9.8568 Å, 109.46 109.71 90.00°
With the nearest neighbours (Å) after each atom.
Sites, in units of the cell vectors:
La 0.4354 0.6768 0.3536  5 Sn 3.33-3.52
La 0.5646 0.3232 0.6464  5 Sn 3.33-3.52
La 0.0818 0.8232 0.6464  5 Sn 3.33-3.52
La 0.9182 0.1768 0.3536  5 Sn 3.33-3.52
La 0.5000 0.7500 0.0000  2 La 3.28, 4 Sn 3.32, 2 Sc 3.32
La 0.5000 0.2500 0.0000  2 La 3.28, 4 Sn 3.32, 2 Sc 3.32
Sc 0.0000 0.2500 0.0000  4 Sn 3.17, 2 Sc 3.28, 2 La 3.32
Sc 0.0000 0.7500 0.0000  4 Sn 3.17, 2 Sc 3.28, 2 La 3.32
Sn 0.3567 0.1295 0.2591  2 Sc 3.17, 7 La 3.32-3.52
Sn 0.6433 0.8705 0.7409  2 Sc 3.17, 7 La 3.32-3.52
Sn 0.0976 0.3705 0.7409  2 Sc 3.17, 7 La 3.32-3.52
Sn 0.9024 0.6295 0.2591  2 Sc 3.17, 7 La 3.32-3.52

Computed properties:
The calculated formation energy comes out at -0.589 eV/atom. Its energy relative to the lowest polymorph listed for this composition is 0.019 eV per atom.

=====

Record 6
DFT (PBE) results for a geometry-optimized LaScSn structure.

Cell: 4.3389 4.7772 8.3521 Å, 90.01 105.06 90.00°
With the nearest neighbours (Å) after each atom.
Sites, in units of the cell vectors:
Sn 0.3788 0.2501 0.7576  4 Sc 3.05-3.12, 4 La 3.32
Sn 0.6212 0.7499 0.2424  4 Sc 3.05-3.12, 4 La 3.32
La 0.0734 0.2499 0.1467  4 Sn 3.32, 2 La 3.36, 2 Sc 3.52
La 0.9266 0.7501 0.8533  4 Sn 3.32, 2 La 3.36, 2 Sc 3.52
Sc 0.7456 0.2500 0.4911  4 Sn 3.05-3.12, 4 Sc 3.23
Sc 0.2544 0.7500 0.5089  4 Sn 3.05-3.12, 4 Sc 3.23

Computed properties:
The calculated formation energy comes out at -0.613 eV/atom. Its energy relative to the lowest polymorph listed for this composition is 0.031 eV per atom.

=====

Record 7
DFT (PBE) results for a geometry-optimized La3Sc2Sn3 structure.

Cell: 6.4410 9.1812 9.1812 Å, 120.00 90.00 90.00°
With the nearest neighbours (Å) after each atom.
Sites, in units of the cell vectors:
La 0.7500 0.2474 0.0000  5 Sn 3.22-3.52
La 0.7500 0.7526 0.7526  5 Sn 3.22-3.52
La 0.7500 0.0000 0.2474  5 Sn 3.22-3.52
La 0.2500 0.7526 0.0000  5 Sn 3.22-3.52
La 0.2500 0.2474 0.2474  5 Sn 3.22-3.52
La 0.2500 0.0000 0.7526  5 Sn 3.22-3.52
Sc 0.0000 0.3333 0.6667  2 Sc 3.22, 6 Sn 3.23
Sc 0.5000 0.6667 0.3333  2 Sc 3.22, 6 Sn 3.23
Sc 0.0000 0.6667 0.3333  2 Sc 3.22, 6 Sn 3.23
Sc 0.5000 0.3333 0.6667  2 Sc 3.22, 6 Sn 3.23
Sn 0.7500 0.5984 0.0000  5 La 3.22-3.52, 4 Sc 3.23
Sn 0.7500 0.4016 0.4016  5 La 3.22-3.52, 4 Sc 3.23
Sn 0.7500 0.0000 0.5984  5 La 3.22-3.52, 4 Sc 3.23
Sn 0.2500 0.4016 0.0000  5 La 3.22-3.52, 4 Sc 3.23
Sn 0.2500 0.5984 0.5984  5 La 3.22-3.52, 4 Sc 3.23
Sn 0.2500 0.0000 0.4016  5 La 3.22-3.52, 4 Sc 3.23

Computed properties:
The calculated formation energy comes out at -0.664 eV/atom.

=====

Record 8
DFT (PBE) results for a geometry-optimized La2ScSn structure.

Cell: 4.2954 4.2954 6.6291 Å, 90.00 90.00 90.00°
With the nearest neighbours (Å) after each atom.
Sites, in units of the cell vectors:
Sc 0.5000 0.5000 0.0000  2 Sn 3.31, 8 La 3.51
Sn 0.5000 0.5000 0.5000  2 Sc 3.31, 8 La 3.41
La 0.0000 0.0000 0.7349  1 La 3.11, 4 Sn 3.41
La 0.0000 0.0000 0.2651  1 La 3.11, 4 Sn 3.41

Computed properties:
The calculated formation energy comes out at -0.374 eV/atom.

=====

- calculated formation energy of number 8 (La2ScSn)?
  -0.374 eV/atom